4
Lattice="-1.7813 1.7813 4.1247 1.7813 -1.7813 4.1247 1.7813 1.7813 -4.1247" Properties=species:S:1:pos:R:3 comment="ScCrFe2 SCAN PBEsol geometry" space_group="I-4m2, No. 119" polymorph_energy_ev_per_atom=0.0000 magnetic_moment_mub_per_fu=0.51 final_energy_ev_per_atom=-17.01 ef_ev_per_atom=0.207 pbc="T T T"
Sc 0.0000 0.0000 0.0000
Cr 0.0000 1.7813 2.0624
Fe 1.7813 0.0000 2.0624
Fe 0.0000 0.0000 4.1247

=====

4
Lattice="0.0000 2.9022 2.9022 2.9022 0.0000 2.9022 2.9022 2.9022 0.0000" Properties=species:S:1:pos:R:3 comment="ScCrFe2 SCAN PBEsol geometry" space_group="Fm-3m, No. 225" polymorph_energy_ev_per_atom=0.0060 magnetic_moment_mub_per_fu=0.53 final_energy_ev_per_atom=-17.01 ef_ev_per_atom=0.213 pbc="T T T"
Sc 0.0000 0.0000 0.0000
Cr 2.9022 2.9022 2.9022
Fe 1.4511 1.4511 1.4511
Fe 4.3532 4.3532 4.3532

=====

4
Lattice="3.6687 0.0000 0.0000 0.0000 3.6687 0.0000 0.0000 0.0000 3.9202" Properties=species:S:1:pos:R:3 comment="ScCrFe2 SCAN PBEsol geometry" space_group="P4/mmm, No. 123" polymorph_energy_ev_per_atom=0.0891 magnetic_moment_mub_per_fu=8.00 final_energy_ev_per_atom=-16.92 ef_ev_per_atom=0.296 pbc="T T T"
Sc 0.0000 0.0000 0.0000
Cr 1.8343 1.8343 0.0000
Fe 0.0000 1.8343 1.9601
Fe 1.8343 0.0000 1.9601

=====

4
Lattice="4.0715 0.0000 0.0000 0.0000 4.0715 0.0000 0.0000 0.0000 2.8511" Properties=species:S:1:pos:R:3 comment="Cr2FeSe SCAN PBEsol geometry" space_group="P4/mmm, No. 123" e_form_raw_mev_per_atom=260 polymorph_energy_ev_per_atom=0.0153 magnetic_moment_mub_per_fu=0.50 final_energy_ev_per_atom=-18.48 pbc="T T T"
Cr 0.0000 2.0358 0.0000
Cr 2.0358 0.0000 0.0000
Fe 0.0000 0.0000 1.4256
Se 2.0358 2.0358 1.4256

=====

4
Lattice="4.1422 -1.4199 0.0000 4.1422 1.4199 0.0000 -1.1399 0.0000 4.0617" Properties=species:S:1:pos:R:3 comment="Cr2FeSe SCAN PBEsol geometry" space_group="Cm, No. 8" e_form_raw_mev_per_atom=245 polymorph_energy_ev_per_atom=0.0000 magnetic_moment_mub_per_fu=0.80 final_energy_ev_per_atom=-18.50 pbc="T T T"
Cr 0.0000 0.0000 0.0000
Cr 1.1300 0.0000 2.5165
Fe 3.4771 0.0000 2.0083
Se 5.9650 0.0000 0.5755

=====

4
Lattice="2.9272 0.0000 0.0000 0.0000 2.9272 0.0000 0.0000 0.0000 5.5761" Properties=species:S:1:pos:R:3 comment="Cr2FeSe SCAN PBEsol geometry" space_group="P4mm, No. 99" e_form_raw_mev_per_atom=283 polymorph_energy_ev_per_atom=0.0381 magnetic_moment_mub_per_fu=0.53 final_energy_ev_per_atom=-18.46 pbc="T T T"
Cr 0.0000 0.0000 0.0000
Cr 1.4636 1.4636 1.4967
Fe 0.0000 0.0000 2.6500
Se 1.4636 1.4636 4.2670

=====

3
Lattice="-1.4328 1.4328 4.4391 1.4328 -1.4328 4.4391 1.4328 1.4328 -4.4391" Properties=species:S:1:pos:R:3 comment="CrFeSe SCAN PBEsol geometry" space_group="I4mm, No. 107" e_form_raw_mev_per_atom=367 magnetic_moment_mub_per_fu=1.15 final_energy_ev_per_atom=-18.50 pbc="T T T"
Cr 0.0000 0.0000 0.0000
Fe 0.0000 0.0000 5.9595
Se 0.0000 0.0000 3.0141

=====

28
Lattice="3.6749 2.1217 11.9981 -3.6749 2.1217 11.9981 0.0000 -4.2435 11.9981" Properties=species:S:1:pos:R:3 comment="Zn3Cr8FeSe16 SCAN PBEsol geometry" space_group="R3m, No. 160" e_form_raw_mev_per_atom=-845 magnetic_moment_mub_per_fu=28.01 final_energy_ev_per_atom=-19.67 pbc="T T T"
Zn 0.0000 0.0000 0.0000
Zn 0.0000 0.0000 4.4986
Zn 0.0000 0.0000 17.9979
Cr -1.8378 -1.0611 14.2436
Cr 0.0000 -2.1219 8.2529
Cr -1.8376 1.0609 8.2529
Cr 0.0000 0.0000 11.2474
Cr 1.8378 -1.0611 14.2436
Cr 0.0000 2.1221 14.2436
Cr 1.8376 1.0609 8.2529
Cr 0.0000 0.0000 29.2419
Fe 0.0000 0.0000 22.4986
Se -1.9868 -1.1471 18.8071
Se 0.0000 0.0000 6.9425
Se 0.0000 -1.9510 12.8069
Se -1.6896 0.9755 12.8069
Se 0.0000 -2.2532 21.7022
Se -1.9513 1.1266 21.7022
Se 0.0000 0.0000 15.5633
Se -1.6874 -0.9742 27.6794
Se 1.6896 0.9755 12.8069
Se 0.0000 0.0000 24.8784
Se 1.9868 -1.1471 18.8071
Se 0.0000 2.2942 18.8071
Se 1.6874 -0.9742 27.6794
Se 0.0000 1.9484 27.6794
Se 0.0000 0.0000 33.5656
Se 1.9513 1.1266 21.7022